1.
An optimized crystal structure of FeGe2HOs. Source: Alexandria via LeMat-Bulk, functional GGA-PBE.

As for the mass density: 10.96 g/cm3. As for the total energy: -6.0050 eV per atom. The magnetization comes out at 1.22 μB per formula unit. As for the crystal system: tetragonal.

The space group is P4/mmm (No. 123) and the conventional cell measures 4.212, 4.212 and 3.351 Å, with angles of 90.00, 90.00 and 90.00 degrees. The asymmetric unit holds Fe at (0.000, 0.000, 0.000), Ge at (0.000, 0.500, 0.500), H at (0.500, 0.500, 0.500) and Os at (0.500, 0.500, 0.000).



2.
An optimized crystal structure of PaFe2GeH2. Source: Alexandria via LeMat-Bulk, functional GGA-PBE.

As for the mass density: 9.64 g/cm3. As for the total energy: -6.4412 eV per atom. The magnetization comes out at 0.00 μB per formula unit. As for the crystal system: monoclinic.

The space group is P2_1/m (No. 11) and the conventional cell measures 4.370, 5.333 and 6.261 Å, with angles of 90.00, 99.60 and 90.00 degrees. The asymmetric unit holds Pa at (0.244, 0.250, 0.333), Fe at (0.281, 0.021, 0.802), Ge at (0.222, 0.750, 0.102), H at (0.103, 0.250, 0.655) and H at (0.252, 0.750, 0.647).



3.
An optimized crystal structure of FeGeHPb2. Source: Alexandria via LeMat-Bulk, functional GGA-PBE.

As for the mass density: 6.34 g/cm3. As for the total energy: -3.7298 eV per atom. The magnetization comes out at 2.77 μB per formula unit. As for the crystal system: tetragonal.

The space group is P4/mmm (No. 123) and the conventional cell measures 5.619, 5.619 and 4.513 Å, with angles of 90.00, 90.00 and 90.00 degrees. The asymmetric unit holds Fe at (0.000, 0.000, 0.000), Ge at (0.000, 0.000, 0.500), H at (0.500, 0.500, 0.000) and Pb at (0.000, 0.500, 0.500).



4.
An optimized crystal structure of FeGeHPd2. Source: Alexandria via LeMat-Bulk, functional GGA-PBE.

As for the mass density: 9.39 g/cm3. As for the total energy: -5.4432 eV per atom. The magnetization comes out at 2.28 μB per formula unit. As for the crystal system: tetragonal.

The space group is P4/mmm (No. 123) and the conventional cell measures 3.894, 3.894 and 3.994 Å, with angles of 90.00, 90.00 and 90.00 degrees. The asymmetric unit holds Fe at (0.000, 0.000, 0.000), Ge at (0.500, 0.500, 0.000), H at (0.000, 0.000, 0.500) and Pd at (0.000, 0.500, 0.500).



5.
An optimized crystal structure of PmFeGeH. Source: Alexandria via LeMat-Bulk, functional GGA-PBE.

As for the mass density: 7.46 g/cm3. As for the total energy: -5.8582 eV per atom. The magnetization comes out at 1.48 μB per formula unit. As for the crystal system: tetragonal.

The space group is P4/nmm (No. 129, origin choice 2) and the conventional cell measures 3.926, 3.926 and 7.927 Å, with angles of 90.00, 90.00 and 90.00 degrees. The asymmetric unit holds Pm at (0.250, 0.250, 0.163), Fe at (0.250, 0.750, 0.500), Ge at (0.250, 0.250, 0.676) and H at (0.250, 0.750, 0.000).



6.
An optimized crystal structure of Pm2Fe2Ge2H. Source: Alexandria via LeMat-Bulk, functional GGA-PBE.

As for the mass density: 7.74 g/cm3. As for the total energy: -6.0391 eV per atom. The magnetization comes out at 0.90 μB per formula unit. As for the crystal system: tetragonal.

The space group is I4/mmm (No. 139) and the conventional cell measures 3.993, 3.993 and 14.756 Å, with angles of 90.00, 90.00 and 90.00 degrees. The asymmetric unit holds Pm at (0.000, 0.000, 0.159), Fe at (0.000, 0.500, 0.000), Ge at (0.000, 0.000, 0.401) and H at (0.000, 0.000, 0.000).



7.
An optimized crystal structure of PmFe2GeH. Source: Alexandria via LeMat-Bulk, functional GGA-PBE.

As for the mass density: 7.66 g/cm3. As for the total energy: -6.2593 eV per atom. The magnetization comes out at 3.89 μB per formula unit. As for the crystal system: orthorhombic.

The space group is Cmcm (No. 63) and the conventional cell measures 3.668, 10.621 and 7.348 Å, with angles of 90.00, 90.00 and 90.00 degrees. The asymmetric unit holds Pm at (0.000, 0.043, 0.250), Fe at (0.000, 0.330, 0.056), Ge at (0.000, 0.236, 0.750) and H at (0.000, 0.500, 0.000).



8.
An optimized crystal structure of Fe2GeHPt. Source: Alexandria via LeMat-Bulk, functional GGA-PBE.

As for the mass density: 10.82 g/cm3. As for the total energy: -6.1734 eV per atom. The magnetization comes out at 5.50 μB per formula unit. As for the crystal system: tetragonal.

The space group is P4/mmm (No. 123) and the conventional cell measures 3.646, 3.646 and 4.391 Å, with angles of 90.00, 90.00 and 90.00 degrees. The asymmetric unit holds Fe at (0.000, 0.500, 0.000), Ge at (0.000, 0.000, 0.500), H at (0.000, 0.000, 0.000) and Pt at (0.500, 0.500, 0.500).



9.
An optimized crystal structure of Fe2GeHPt. Source: Alexandria via LeMat-Bulk, functional GGA-PBE.

As for the mass density: 11.22 g/cm3. As for the total energy: -6.2073 eV per atom. The magnetization comes out at 4.44 μB per formula unit. As for the crystal system: tetragonal.

The space group is P4/mmm (No. 123) and the conventional cell measures 3.717, 3.717 and 4.074 Å, with angles of 90.00, 90.00 and 90.00 degrees. The asymmetric unit holds Fe at (0.000, 0.500, 0.000), Ge at (0.000, 0.000, 0.500), H at (0.500, 0.500, 0.000) and Pt at (0.500, 0.500, 0.500).



10.
An optimized crystal structure of Pu2Fe5Ge3H2. Source: Alexandria via LeMat-Bulk, functional GGA-PBE.

As for the mass density: 11.52 g/cm3. As for the total energy: -7.5340 eV per atom. The magnetization comes out at 0.01 μB per formula unit. As for the crystal system: tetragonal.

The space group is I4/mmm (No. 139) and the conventional cell measures 3.531, 3.531 and 22.823 Å, with angles of 90.00, 90.00 and 90.00 degrees. The asymmetric unit holds Pu at (0.000, 0.000, 0.228), Fe at (0.000, 0.000, 0.000), Fe at (0.000, 0.500, 0.079), Ge at (0.000, 0.000, 0.349), Ge at (0.000, 0.000, 0.500) and H at (0.000, 0.000, 0.083).



11.
An optimized crystal structure of PuFe2GeH. Source: Alexandria via LeMat-Bulk, functional GGA-PBE.

As for the mass density: 10.23 g/cm3. As for the total energy: -7.9599 eV per atom. The magnetization comes out at 9.13 μB per formula unit. As for the crystal system: orthorhombic.

The space group is Cmcm (No. 63) and the conventional cell measures 3.612, 10.620 and 7.268 Å, with angles of 90.00, 90.00 and 90.00 degrees. The asymmetric unit holds Pu at (0.000, 0.039, 0.250), Fe at (0.000, 0.329, 0.057), Ge at (0.000, 0.242, 0.750) and H at (0.000, 0.500, 0.000).



12.
An optimized crystal structure of Pu2Fe2Ge2H. Source: Alexandria via LeMat-Bulk, functional GGA-PBE.

As for the mass density: 11.32 g/cm3. As for the total energy: -8.5804 eV per atom. The magnetization comes out at 10.69 μB per formula unit. As for the crystal system: tetragonal.

The space group is I4/mmm (No. 139) and the conventional cell measures 3.928, 3.928 and 14.183 Å, with angles of 90.00, 90.00 and 90.00 degrees. The asymmetric unit holds Pu at (0.000, 0.000, 0.171), Fe at (0.000, 0.500, 0.000), Ge at (0.000, 0.000, 0.397) and H at (0.000, 0.000, 0.000).